# 1
Density functional theory data (PBE) for crystalline TiMoI2N at its relaxed geometry.

Output
ΔE to the lowest computed polymorph	0.000	eV/atom
total moment	4.646	μB/f.u.
E	-5.47	eV/atom
formation energy from raw total energies	0.557	eV/atom

CIF file:
```
data_TiMoI2N
_space_group_name_H-M_alt 'P 4/m m m'
_space_group_IT_number 123
_space_group_name_Hall '-P 4 2'
_cell_length_a 5.7245
_cell_length_b 5.7245
_cell_length_c 3.7681
_cell_angle_alpha 90.00
_cell_angle_beta 90.00
_cell_angle_gamma 90.00
loop_
_atom_site_label
_atom_site_fract_x
_atom_site_fract_y
_atom_site_fract_z
Ti1 0.0000 0.0000 0.0000
Mo1 0.5000 0.5000 0.5000
I1 0.0000 0.5000 0.0000
N1 0.0000 0.0000 0.5000
```

---

# 2
Density functional theory data (PBE) for crystalline LiLa2Ga6Ag at its relaxed geometry.

Output
E_form	-0.35	eV per atom
total moment	0.000	μB/f.u.
E	-3.63	eV/atom

CIF file:
```
data_LiLa2Ga6Ag
_space_group_name_H-M_alt 'R -3 m'
_space_group_IT_number 166
_space_group_name_Hall '-R 3 2"'
_cell_length_a 6.4546
_cell_length_b 6.4546
_cell_length_c 35.0343
_cell_angle_alpha 90.00
_cell_angle_beta 90.00
_cell_angle_gamma 120.00
loop_
_atom_site_label
_atom_site_fract_x
_atom_site_fract_y
_atom_site_fract_z
Li1 0.0000 0.0000 0.0698
La1 0.0000 0.0000 0.1985
La2 0.0000 0.0000 0.3734
Ga1 0.0280 0.5140 0.7845
Ga2 0.0666 0.5333 0.3816
Ag1 0.0000 0.0000 0.0000
Ag2 0.0000 0.0000 0.5000
```